[1]
DFT (PBE) results for an optimized crystal structure of TbDyMgAl.

Geometry as POSCAR:
```
TbDyMgAl
1.0
-0.196 -0.459 5.183
1.666 3.899 3.024
-3.420 2.817 2.736
Mg Tb Dy Al
1 1 1 1
direct
0.500 0.500 0.500
0.250 0.250 0.250
0.750 0.750 0.750
0.000 0.000 0.000
```

Results
Spin magnetization, μB per formula unit: 0.0
Total energy, eV/atom: -3.9036
SG: F-43m

---

[2]
DFT (PBE) results for an optimized crystal structure of TbGdGe.

Geometry as POSCAR:
```
TbGdGe
1.0
2.129 3.732 7.507
-4.048 2.881 7.080
1.257 -6.125 -5.976
Gd Tb Ge
2 2 2
direct
0.000 0.500 0.500
0.500 0.000 0.500
0.319 0.319 0.000
0.681 0.681 0.000
0.136 0.136 0.000
0.864 0.864 0.000
```

Results
Spin magnetization, μB per formula unit: 0.0
Total energy, eV/atom: -5.2598
SG: I4/mmm

---

[3]
DFT (PBE) results for an optimized crystal structure of NbBr4Cl.

Geometry as POSCAR:
```
NbBr4Cl
1.0
6.830 0.000 0.000
-3.060 6.678 0.000
-0.323 -3.827 9.280
Br Nb Cl
8 2 2
direct
0.772 0.826 0.043
0.434 0.569 0.325
0.697 0.989 0.753
0.566 0.431 0.675
0.928 0.185 0.425
0.228 0.174 0.957
0.303 0.011 0.247
0.072 0.815 0.575
0.895 0.780 0.780
0.105 0.220 0.220
0.895 0.367 0.151
0.105 0.633 0.849
```

Results
Spin magnetization, μB per formula unit: 0.0
Total energy, eV/atom: -4.0224
SG: P-1

---

[4]
DFT (PBE) results for an optimized crystal structure of TbCuSi2Ni.

Geometry as POSCAR:
```
TbCuSi2Ni
1.0
3.794 -0.634 4.071
-1.280 1.487 5.246
-2.225 -3.019 -4.160
Si Ni Cu Tb
2 1 1 1
direct
0.127 0.627 0.500
0.373 0.873 0.500
0.500 0.500 0.000
0.000 0.000 0.000
0.750 0.250 0.500
```

Results
Spin magnetization, μB per formula unit: 0.0
Total energy, eV/atom: -5.6763
SG: I-4m2